{
  "formula": "La2MnCu",
  "functional": "PBE-GGA",
  "state": "relaxed",
  "cell": [[3.5057, 0.0000, 0.0000], [0.0000, 7.7134, -0.1126], [0.0000, 4.5404, 3.7543]],
  "species": ["Cu", "La", "La", "Mn"],
  "fractional_positions": [[0.0000, 0.0000, 0.5000], [0.0000, 0.0000, 0.0000], [0.5000, 0.5000, 0.0000], [0.5000, 0.5000, 0.5000]],
  "energy_ev_per_atom": -5.50,
  "dos_at_fermi_per_ev_cell": 4.705,
  "m_tot_mub_per_cell": 2.4,
  "delta_e_f_mev_per_atom": 282,
  "sg": "P2/m (10)"
}